# 1
# CaTlPdPt

Crystalline CaTlPdPt at its relaxed geometry (PBE, Alexandria).

Summary:
* calculated formation energy: -0.501 eV per atom

Structure (extended XYZ):
```
4
Lattice="0.000 3.422 3.422 3.422 0.000 3.422 3.422 3.422 0.000" Properties=species:S:1:pos:R:3 pbc="T T T"
Ca 0.000 0.000 0.000
Tl 3.422 3.422 3.422
Pd 5.133 5.133 5.133
Pt 1.711 1.711 1.711
```



# 2
# Pm4MgPd7

Crystalline Pm4MgPd7 at its relaxed geometry (PBE, Alexandria).

Summary:
* calculated formation energy: -0.638 eV per atom

Structure (extended XYZ):
```
12
Lattice="5.430 -2.637 0.000 5.430 2.637 0.000 -5.159 0.000 9.261" Properties=species:S:1:pos:R:3 pbc="T T T"
Pm -0.454 0.000 2.683
Pm -1.328 0.000 8.038
Pm 7.029 0.000 1.223
Pm 6.155 0.000 6.578
Mg 2.850 0.000 4.630
Pd -2.579 0.000 4.630
Pd 1.316 0.000 0.203
Pd 0.071 0.000 5.514
Pd 3.546 0.000 1.837
Pd 2.155 0.000 7.423
Pd 5.630 0.000 3.747
Pd 4.384 0.000 9.058
```



# 3
# Y4Mg5In

Crystalline Y4Mg5In at its relaxed geometry (PBE, Alexandria).

Summary:
* calculated formation energy: -0.187 eV per atom

Structure (extended XYZ):
```
10
Lattice="7.912 -2.630 0.000 7.912 2.630 0.000 -1.750 0.000 6.322" Properties=species:S:1:pos:R:3 pbc="T T T"
Y 0.870 0.000 2.477
Y 4.493 0.000 1.218
Y 9.580 0.000 5.105
Y 13.203 0.000 3.846
Mg -0.041 0.000 5.762
Mg 3.515 0.000 4.407
Mg 7.912 0.000 0.000
Mg 10.559 0.000 1.915
Mg 14.115 0.000 0.561
In 7.037 0.000 3.161
```



# 4
# Ga2SbP

Crystalline Ga2SbP at its relaxed geometry (PBE, Alexandria).

Summary:
* uncorrected formation energy: 164 kJ/mol of formula units
* energy above the lowest structure with this stoichiometry: 677 meV/atom

Structure (extended XYZ):
```
4
Lattice="2.087 1.205 7.431 -2.087 1.205 7.431 0.000 -2.410 7.431" Properties=species:S:1:pos:R:3 pbc="T T T"
Ga 0.000 0.000 2.260
Ga 0.000 0.000 20.032
Sb 0.000 0.000 11.146
P 0.000 0.000 0.000
```